[1]
# La3SmDy2Er6 PBE optimized geometry
data_La3SmDy2Er6
_chemical_formula_sum 'La6 Sm2 Dy4 Er12'
_cell_length_a 6.219
_cell_length_b 10.771
_cell_length_c 11.786
_cell_angle_alpha 90.00
_cell_angle_beta 100.10
_cell_angle_gamma 90.00
_symmetry_space_group_name_H-M 'C 1 2/m 1'
_symmetry_Int_Tables_number 12
loop_
_symmetry_equiv_pos_as_xyz
'x,y,z'
'-x,-y,-z'
'-x,y,-z'
'x,-y,z'
'x+1/2,y+1/2,z'
'-x+1/2,-y+1/2,-z'
'-x+1/2,y+1/2,-z'
'x+1/2,-y+1/2,z'
loop_
_atom_site_label
_atom_site_type_symbol
_atom_site_fract_x
_atom_site_fract_y
_atom_site_fract_z
La1 La 0.000 0.000 0.000
La2 La 0.000 0.333 0.000
Sm1 Sm 0.000 0.500 0.500
Dy1 Dy 0.000 0.167 0.500
Er1 Er 0.248 0.000 0.745
Er2 Er 0.248 0.333 0.745
# magnetic moment	0.02	Bohr magnetons per cell
# calculated total energy	-111.65	eV per cell
# DOS at the Fermi energy	30.6	states/eV/cell

---

[2]
# Ba2RuIF PBE optimized geometry
data_Ba2RuIF
_chemical_formula_sum 'Ba2 Ru1 I1 F1'
_cell_length_a 5.806
_cell_length_b 5.806
_cell_length_c 4.228
_cell_angle_alpha 90.00
_cell_angle_beta 90.00
_cell_angle_gamma 90.00
_symmetry_space_group_name_H-M 'P 4/m m m'
_symmetry_Int_Tables_number 123
_symmetry_space_group_name_Hall '-P 4 2'
loop_
_atom_site_label
_atom_site_type_symbol
_atom_site_fract_x
_atom_site_fract_y
_atom_site_fract_z
Ba1 Ba 0.000 0.500 0.000
Ru1 Ru 0.000 0.000 0.500
I1 I 0.500 0.500 0.500
F1 F 0.000 0.000 0.000
# magnetic moment	0.00	Bohr magnetons per cell
# calculated total energy	-20.86	eV per cell
# DOS at the Fermi energy	2.1	states/eV/cell

---

[3]
# Rh5W3 PBE optimized geometry
data_Rh5W3
_chemical_formula_sum 'Rh10 W6'
_cell_length_a 7.764
_cell_length_b 7.843
_cell_length_c 3.881
_cell_angle_alpha 90.00
_cell_angle_beta 90.00
_cell_angle_gamma 90.00
_symmetry_space_group_name_H-M 'C m m m'
_symmetry_Int_Tables_number 65
_symmetry_space_group_name_Hall '-C 2 2'
loop_
_atom_site_label
_atom_site_type_symbol
_atom_site_fract_x
_atom_site_fract_y
_atom_site_fract_z
Rh1 Rh 0.000 0.000 0.000
Rh2 Rh 0.000 0.254 0.500
Rh3 Rh 0.250 0.250 0.000
W1 W 0.000 0.500 0.000
W2 W 0.247 0.000 0.500
# magnetic moment	0.00	Bohr magnetons per cell
# calculated total energy	-153.91	eV per cell
# DOS at the Fermi energy	14.6	states/eV/cell
# distance to the lowest polymorph of the same formula	0.00	kJ/mol of atoms

---

[4]
# Gd2CdCu PBE optimized geometry
data_Gd2CdCu
_chemical_formula_sum 'Gd6 Cd3 Cu3'
_cell_length_a 3.5209
_cell_length_b 3.5209
_cell_length_c 31.7723
_cell_angle_alpha 90.00
_cell_angle_beta 90.00
_cell_angle_gamma 120.00
_symmetry_space_group_name_H-M 'R -3 m'
_symmetry_Int_Tables_number 166
_symmetry_space_group_name_Hall '-R 3 2"'
loop_
_atom_site_label
_atom_site_type_symbol
_atom_site_fract_x
_atom_site_fract_y
_atom_site_fract_z
Gd1 Gd 0.0000 0.0000 0.1029
Cd1 Cd 0.0000 0.0000 0.0000
Cu1 Cu 0.0000 0.0000 0.5000
# magnetic moment	45.97	Bohr magnetons per cell
# calculated total energy	-97.11	eV per cell
# DOS at the Fermi energy	15.3	states/eV/cell
# distance to the lowest polymorph of the same formula	44.76	kJ/mol of atoms

---

[5]
# OsBr2Cl PBE optimized geometry
data_OsBr2Cl
_chemical_formula_sum 'Os2 Br4 Cl2'
_cell_length_a 4.751
_cell_length_b 13.590
_cell_length_c 3.798
_cell_angle_alpha 90.00
_cell_angle_beta 90.00
_cell_angle_gamma 90.00
_symmetry_space_group_name_H-M 'C m m m'
_symmetry_Int_Tables_number 65
_symmetry_space_group_name_Hall '-C 2 2'
loop_
_atom_site_label
_atom_site_type_symbol
_atom_site_fract_x
_atom_site_fract_y
_atom_site_fract_z
Os1 Os 0.000 0.000 0.000
Br1 Br 0.000 0.123 0.500
Cl1 Cl 0.000 0.500 0.000
# magnetic moment	2.70	Bohr magnetons per cell
# calculated total energy	-32.73	eV per cell
# DOS at the Fermi energy	3.3	states/eV/cell
# distance to the lowest polymorph of the same formula	0.91	kJ/mol of atoms